BiSbIrAu2 after structural relaxation. Source: Alexandria via LeMat-Bulk, functional PBE.

Lattice parameters (Å, degrees): 5.210 5.210 4.866 90.00 90.00 90.00
Space group P4/mmm (No. 123)
Symmetry-distinct sites (fractional):
Bi1 0.000 0.000 0.000 [1 per cell]
Sb1 0.500 0.500 0.000 [1 per cell]
Ir1 0.500 0.500 0.500 [1 per cell]
Au1 0.000 0.500 0.500 [2 per cell]

Output
The energy relative to the elements, uncorrected is 49 kJ per mole of atoms. The value obtained for the volume is 26.4 Å³ per atom. The calculation puts the total energy at -4.1750 eV per atom.